## YTi2I (meta-GGA SCAN)

Data for YTi2I at its PBEsol-relaxed geometry.

**Symmetry**: No. 225
**E_tot**: -23.60 eV per atom

Lattice parameters (Å, degrees): 4.803 4.803 4.803 60.00 60.00 60.00
Fractional positions:
Y 0.000 0.000 0.000
Ti 0.250 0.250 0.250
Ti 0.750 0.750 0.750
I 0.500 0.500 0.500

---

## YTlIn2 (meta-GGA SCAN)

Data for YTlIn2 at its PBEsol-relaxed geometry.

**Symmetry**: No. 119
**Formation energy**: -404 meV per atom

Lattice parameters (Å, degrees): 5.866 5.866 5.866 135.33 135.33 65.02
Fractional positions:
Y 0.000 0.000 0.000
Tl 0.250 0.750 0.500
In 0.500 0.500 0.000
In 0.750 0.250 0.500

---

## BaNaLi2 (meta-GGA SCAN)

Data for BaNaLi2 at its PBEsol-relaxed geometry.

**Symmetry**: No. 225
**Formation energy**: 93 meV per atom

Lattice parameters (Å, degrees): 5.888 5.888 5.888 60.00 60.00 60.00
Fractional positions:
Ba 0.000 0.000 0.000
Na 0.500 0.500 0.500
Li 0.250 0.250 0.250
Li 0.750 0.750 0.750

---

## AlGeAsSe2 (meta-GGA SCAN)

Data for AlGeAsSe2 at its PBEsol-relaxed geometry.

**Symmetry**: No. 123
**E_tot**: -17.13 eV per atom

Lattice parameters (Å, degrees): 4.825 4.825 4.774 90.00 90.00 90.00
Fractional positions:
Al 0.000 0.000 0.000
Ge 0.500 0.500 0.500
As 0.000 0.000 0.500
Se 0.000 0.500 0.000
Se 0.500 0.000 0.000

---

## SrCa2BH (meta-GGA SCAN)

Data for SrCa2BH at its PBEsol-relaxed geometry.

**Symmetry**: No. 123
**E_tot**: -8.83 eV per atom

Lattice parameters (Å, degrees): 6.533 6.533 4.483 90.00 90.00 90.00
Fractional positions:
Sr 0.000 0.000 0.000
Ca 0.000 0.500 0.000
Ca 0.500 0.000 0.000
B 0.000 0.000 0.500
H 0.500 0.500 0.500

---

## ReTcW2 (meta-GGA SCAN)

Data for ReTcW2 at its PBEsol-relaxed geometry.

**Relative energy among the computed polymorphs**: 0.03 eV per formula unit
**Symmetry**: No. 123
**Formation energy**: 35 meV per atom

Lattice parameters (Å, degrees): 3.110 3.110 6.227 90.00 90.00 90.00
Fractional positions:
Re 0.000 0.000 0.000
Tc 0.000 0.000 0.500
W 0.500 0.500 0.250
W 0.500 0.500 0.750

---

## BaNaScB2O6 (meta-GGA SCAN)

Data for BaNaScB2O6 at its PBEsol-relaxed geometry.

**Symmetry**: No. 148
**E_tot**: -13.06 eV per atom

Lattice parameters (Å, degrees): 11.862 11.862 11.862 25.54 25.54 25.54
Fractional positions:
Ba 0.103 0.103 0.103
Ba 0.897 0.897 0.897
Na 0.377 0.377 0.377
Na 0.623 0.623 0.623
Sc 0.000 0.000 0.000
Sc 0.500 0.500 0.500
B 0.203 0.203 0.203
B 0.296 0.296 0.296
B 0.704 0.704 0.704
B 0.797 0.797 0.797
O 0.099 0.192 0.597
O 0.100 0.644 0.645
O 0.192 0.597 0.099
O 0.355 0.900 0.356
O 0.356 0.355 0.900
O 0.403 0.901 0.808
O 0.597 0.099 0.192
O 0.644 0.645 0.100
O 0.645 0.100 0.644
O 0.808 0.403 0.901
O 0.900 0.356 0.355
O 0.901 0.808 0.403

---

## MnCrIn2 (meta-GGA SCAN)

Data for MnCrIn2 at its PBEsol-relaxed geometry.

**Relative energy among the computed polymorphs**: 0.00 eV per formula unit
**Symmetry**: No. 25
**Formation energy**: 60 meV per atom

Lattice parameters (Å, degrees): 3.021 4.708 4.777 90.00 90.00 90.00
Fractional positions:
Mn 0.000 0.000 0.000
Cr 0.000 0.500 0.582
In 0.500 0.000 0.509
In 0.500 0.500 0.074

---

Repeat the fourth record exactly.
## AlGeAsSe2 (meta-GGA SCAN)

Data for AlGeAsSe2 at its PBEsol-relaxed geometry.

**Symmetry**: No. 123
**E_tot**: -17.13 eV per atom

Lattice parameters (Å, degrees): 4.825 4.825 4.774 90.00 90.00 90.00
Fractional positions:
Al 0.000 0.000 0.000
Ge 0.500 0.500 0.500
As 0.000 0.000 0.500
Se 0.000 0.500 0.000
Se 0.500 0.000 0.000

---

> Which formula does entry 6 have?

ReTcW2